a.
The following is a DFT calculation (PBE-GGA) of a relaxed structure of Ho2HfTh.

Results
- magnetization (μB per cell) = 0.000
- Fermi-level density of states (states/eV/atom) = 1.244

```
data_Ho2HfTh
_cell_length_a 3.3738
_cell_length_b 3.3738
_cell_length_c 35.5978
_cell_angle_alpha 90.00
_cell_angle_beta 90.00
_cell_angle_gamma 120.00
_space_group_name_H-M_alt 'R -3 m'
_space_group_IT_number 166
_space_group_name_Hall '-R 3 2"'
loop_
_atom_site_label
_atom_site_type_symbol
_atom_site_fract_x
_atom_site_fract_y
_atom_site_fract_z
Ho1 Ho 0.0000 0.0000 0.0872
Hf1 Hf 0.0000 0.0000 0.0000
Th1 Th 0.0000 0.0000 0.5000
```

=====

b.
The following is a DFT calculation (PBE-GGA) of a relaxed structure of Ho2HfTh.

Results
- magnetization (μB per cell) = 0.002
- Fermi-level density of states (states/eV/atom) = 1.669

```
data_Ho2HfTh
_cell_length_a 3.4145
_cell_length_b 3.4145
_cell_length_c 34.2060
_cell_angle_alpha 90.00
_cell_angle_beta 90.00
_cell_angle_gamma 120.00
_space_group_name_H-M_alt 'R 3 m'
_space_group_IT_number 160
_space_group_name_Hall 'R 3 -2"'
loop_
_atom_site_label
_atom_site_type_symbol
_atom_site_fract_x
_atom_site_fract_y
_atom_site_fract_z
Ho1 Ho 0.0000 0.0000 0.0000
Ho2 Ho 0.0000 0.0000 0.1799
Hf1 Hf 0.0000 0.0000 0.5900
Th1 Th 0.0000 0.0000 0.7557
```

=====

The structure with the greatest stability is b.

=====

a.
The following is a DFT calculation (PBE-GGA) of a relaxed structure of Ho2HfTh.

Results
- magnetization (μB per cell) = 0.000
- Fermi-level density of states (states/eV/atom) = 1.137

```
data_Ho2HfTh
_cell_length_a 4.793
_cell_length_b 4.793
_cell_length_c 4.971
_cell_angle_alpha 90.00
_cell_angle_beta 90.00
_cell_angle_gamma 90.00
_space_group_name_H-M_alt 'P 4/m m m'
_space_group_IT_number 123
_space_group_name_Hall '-P 4 2'
loop_
_atom_site_label
_atom_site_type_symbol
_atom_site_fract_x
_atom_site_fract_y
_atom_site_fract_z
Ho1 Ho 0.000 0.500 0.000
Hf1 Hf 0.000 0.000 0.500
Th1 Th 0.500 0.500 0.500
```

=====

b.
The following is a DFT calculation (PBE-GGA) of a relaxed structure of Ho2HfTh.

Results
- magnetization (μB per cell) = 0.001
- Fermi-level density of states (states/eV/atom) = 1.938

```
data_Ho2HfTh
_cell_length_a 4.027
_cell_length_b 4.027
_cell_length_c 7.116
_cell_angle_alpha 90.00
_cell_angle_beta 90.00
_cell_angle_gamma 90.00
_space_group_name_H-M_alt 'P 4/m m m'
_space_group_IT_number 123
_space_group_name_Hall '-P 4 2'
loop_
_atom_site_label
_atom_site_type_symbol
_atom_site_fract_x
_atom_site_fract_y
_atom_site_fract_z
Ho1 Ho 0.000 0.000 0.227
Hf1 Hf 0.500 0.500 0.000
Th1 Th 0.500 0.500 0.500
```

=====

The structure with the greatest stability is a.

=====

a.
The following is a DFT calculation (PBE-GGA) of a relaxed structure of HoHf2Ti.

Results
- magnetization (μB per cell) = 0.000
- Fermi-level density of states (states/eV/atom) = 1.532

```
data_HoHf2Ti
_cell_length_a 3.1750
_cell_length_b 3.1750
_cell_length_c 31.2623
_cell_angle_alpha 90.00
_cell_angle_beta 90.00
_cell_angle_gamma 120.00
_space_group_name_H-M_alt 'R -3 m'
_space_group_IT_number 166
_space_group_name_Hall '-R 3 2"'
loop_
_atom_site_label
_atom_site_type_symbol
_atom_site_fract_x
_atom_site_fract_y
_atom_site_fract_z
Ho1 Ho 0.0000 0.0000 0.0000
Hf1 Hf 0.0000 0.0000 0.2427
Ti1 Ti 0.0000 0.0000 0.5000
```

=====

b.
The following is a DFT calculation (PBE-GGA) of a relaxed structure of HoHf2Ti.

Results
- magnetization (μB per cell) = 0.000
- Fermi-level density of states (states/eV/atom) = 1.381

```
data_HoHf2Ti
_cell_length_a 3.581
_cell_length_b 3.581
_cell_length_c 7.174
_cell_angle_alpha 90.00
_cell_angle_beta 90.00
_cell_angle_gamma 90.00
_space_group_name_H-M_alt 'P 4/m m m'
_space_group_IT_number 123
_space_group_name_Hall '-P 4 2'
loop_
_atom_site_label
_atom_site_type_symbol
_atom_site_fract_x
_atom_site_fract_y
_atom_site_fract_z
Ho1 Ho 0.000 0.000 0.000
Hf1 Hf 0.500 0.500 0.297
Ti1 Ti 0.000 0.000 0.500
```

=====

The structure with the greatest stability is b.

=====

a.
The following is a DFT calculation (PBE-GGA) of a relaxed structure of Ho2TmHf.

Results
- magnetization (μB per cell) = 0.000
- Fermi-level density of states (states/eV/atom) = 1.562

```
data_Ho2TmHf
_cell_length_a 3.4192
_cell_length_b 3.4192
_cell_length_c 33.2146
_cell_angle_alpha 90.00
_cell_angle_beta 90.00
_cell_angle_gamma 120.00
_space_group_name_H-M_alt 'R 3 m'
_space_group_IT_number 160
_space_group_name_Hall 'R 3 -2"'
loop_
_atom_site_label
_atom_site_type_symbol
_atom_site_fract_x
_atom_site_fract_y
_atom_site_fract_z
Ho1 Ho 0.0000 0.0000 0.0000
Ho2 Ho 0.0000 0.0000 0.1758
Tm1 Tm 0.0000 0.0000 0.7544
Hf1 Hf 0.0000 0.0000 0.5881
```

=====

b.
The following is a DFT calculation (PBE-GGA) of a relaxed structure of Ho2TmHf.

Results
- magnetization (μB per cell) = 0.001
- Fermi-level density of states (states/eV/atom) = 1.654

```
data_Ho2TmHf
_cell_length_a 3.3137
_cell_length_b 3.3137
_cell_length_c 35.6727
_cell_angle_alpha 90.00
_cell_angle_beta 90.00
_cell_angle_gamma 120.00
_space_group_name_H-M_alt 'R -3 m'
_space_group_IT_number 166
_space_group_name_Hall '-R 3 2"'
loop_
_atom_site_label
_atom_site_type_symbol
_atom_site_fract_x
_atom_site_fract_y
_atom_site_fract_z
Ho1 Ho 0.0000 0.0000 0.0872
Tm1 Tm 0.0000 0.0000 0.5000
Hf1 Hf 0.0000 0.0000 0.0000
```

=====

The structure with the greatest stability is a.

=====

a.
The following is a DFT calculation (PBE-GGA) of a relaxed structure of Ho2TmHf.

Results
- magnetization (μB per cell) = 0.000
- Fermi-level density of states (states/eV/atom) = 1.158

```
data_Ho2TmHf
_cell_length_a 4.813
_cell_length_b 4.813
_cell_length_c 4.798
_cell_angle_alpha 90.00
_cell_angle_beta 90.00
_cell_angle_gamma 90.00
_space_group_name_H-M_alt 'P 4/m m m'
_space_group_IT_number 123
_space_group_name_Hall '-P 4 2'
loop_
_atom_site_label
_atom_site_type_symbol
_atom_site_fract_x
_atom_site_fract_y
_atom_site_fract_z
Ho1 Ho 0.000 0.500 0.000
Tm1 Tm 0.000 0.000 0.500
Hf1 Hf 0.500 0.500 0.500
```

=====

b.
The following is a DFT calculation (PBE-GGA) of a relaxed structure of Ho2TmHf.

Results
- magnetization (μB per cell) = 0.000
- Fermi-level density of states (states/eV/atom) = 1.715

```
data_Ho2TmHf
_cell_length_a 3.970
_cell_length_b 3.970
_cell_length_c 7.153
_cell_angle_alpha 90.00
_cell_angle_beta 90.00
_cell_angle_gamma 90.00
_space_group_name_H-M_alt 'P 4/m m m'
_space_group_IT_number 123
_space_group_name_Hall '-P 4 2'
loop_
_atom_site_label
_atom_site_type_symbol
_atom_site_fract_x
_atom_site_fract_y
_atom_site_fract_z
Ho1 Ho 0.000 0.000 0.226
Tm1 Tm 0.500 0.500 0.500
Hf1 Hf 0.500 0.500 0.000
```

=====

The structure with the greatest stability is a.

=====

a.
The following is a DFT calculation (PBE-GGA) of a relaxed structure of HoTmHf.

Results
- magnetization (μB per cell) = 0.004
- Fermi-level density of states (states/eV/atom) = 1.869

```
data_HoTmHf
_cell_length_a 5.2815
_cell_length_b 5.2815
_cell_length_c 3.3706
_cell_angle_alpha 90.00
_cell_angle_beta 90.00
_cell_angle_gamma 120.00
_space_group_name_H-M_alt 'P -6 m 2'
_space_group_IT_number 187
_space_group_name_Hall 'P -6 2'
loop_
_atom_site_label
_atom_site_type_symbol
_atom_site_fract_x
_atom_site_fract_y
_atom_site_fract_z
Ho1 Ho 0.0000 0.0000 0.0000
Tm1 Tm 0.3333 0.6667 0.5000
Hf1 Hf 0.6667 0.3333 0.5000
```

=====

b.
The following is a DFT calculation (PBE-GGA) of a relaxed structure of HoTmHf.

Results
- magnetization (μB per cell) = 0.000
- Fermi-level density of states (states/eV/atom) = 1.496

```
data_HoTmHf
_cell_length_a 3.363
_cell_length_b 4.691
_cell_length_c 10.335
_cell_angle_alpha 90.00
_cell_angle_beta 90.00
_cell_angle_gamma 90.00
_space_group_name_H-M_alt 'P m m n'
_space_group_IT_number 59
loop_
_space_group_symop_operation_xyz
'x,y,z'
'-x,-y,-z'
'-x+1/2,-y+1/2,z'
'x+1/2,y+1/2,-z'
'x+1/2,-y,-z'
'-x+1/2,y,z'
'-x,y+1/2,-z'
'x,-y+1/2,z'
loop_
_atom_site_label
_atom_site_type_symbol
_atom_site_fract_x
_atom_site_fract_y
_atom_site_fract_z
Ho1 Ho 0.250 0.250 0.090
Tm1 Tm 0.250 0.250 0.731
Hf1 Hf 0.250 0.250 0.430
```

=====

c.
The following is a DFT calculation (PBE-GGA) of a relaxed structure of HoTmHf.

Results
- magnetization (μB per cell) = 0.000
- Fermi-level density of states (states/eV/atom) = 1.352

```
data_HoTmHf
_cell_length_a 3.349
_cell_length_b 3.349
_cell_length_c 14.617
_cell_angle_alpha 90.00
_cell_angle_beta 90.00
_cell_angle_gamma 90.00
_space_group_name_H-M_alt 'I 4 m m'
_space_group_IT_number 107
_space_group_name_Hall 'I 4 -2'
loop_
_atom_site_label
_atom_site_type_symbol
_atom_site_fract_x
_atom_site_fract_y
_atom_site_fract_z
Ho1 Ho 0.000 0.000 0.000
Tm1 Tm 0.000 0.000 0.311
Hf1 Hf 0.000 0.000 0.656
```

=====

The structure with the greatest stability is c.